Entry from OQMD: a geometry-optimized YEr2Cu4Ge4 structure (PBE-GGA).

total energy	-5.082	eV/atom

Cell: 7.9476 7.9476 7.9476 Å, 149.61 130.66 59.06°
Fractional coordinates of all 11 atoms:
Cu1 0.6385 0.3297 0.3089
Cu2 0.9792 0.6703 0.3089
Cu3 0.0208 0.3297 0.6911
Cu4 0.3615 0.6703 0.6911
Er1 0.6292 0.1292 0.5000
Er2 0.3708 0.8708 0.5000
Ge1 0.2167 0.2167 0.0000
Ge2 0.7833 0.7833 0.0000
Ge3 0.6923 0.5000 0.1923
Ge4 0.3077 0.5000 0.8077
Y1 0.0000 0.0000 0.0000